Computed, not measured: a relaxed structure of TaHg at the PBE level of DFT.

Cell: 10.2775 2.9675 5.3129 Å, 90.00 102.56 90.00°
Closest atoms and distances in Å follow each position.
Fractional positions:
Ta 0.1370 0.0000 0.3984  4 Ta 2.77-2.97, 2 Hg 2.99
Ta 0.3630 0.5000 0.6016  4 Ta 2.77-2.97, 2 Hg 2.99
Ta 0.6370 0.5000 0.3984  4 Ta 2.77-2.97, 2 Hg 2.99
Ta 0.8630 0.0000 0.6016  4 Ta 2.77-2.97, 2 Hg 2.99
Hg 0.1194 0.5000 0.8793  5 Hg 2.97-3.09, 7 Ta 2.99-3.17
Hg 0.3806 0.0000 0.1207  5 Hg 2.97-3.09, 7 Ta 2.99-3.17
Hg 0.6194 0.0000 0.8793  5 Hg 2.97-3.09, 7 Ta 2.99-3.17
Hg 0.8806 0.5000 0.1207  5 Hg 2.97-3.09, 7 Ta 2.99-3.17

Output
Theoretical density (g cm⁻³): 16.02
V (Å³ per atom): 19.77
Calculated total energy (eV per cell): -45.17
Symmetry: C2/m, No. 12


Computed, not measured: a relaxed structure of La4Ho11Tm9 at the PBE level of DFT.

Cell: 15.4395 15.4395 3.5838 Å, 90.00 90.00 116.18°
Closest atoms and distances in Å follow each position.
Fractional positions:
La 0.0833 0.2574 0.0000  6 Ho 3.45-3.65, 2 La 3.58, 3 Tm 3.60-3.63
La 0.2574 0.0833 0.0000  6 Ho 3.45-3.65, 2 La 3.58, 3 Tm 3.60-3.63
La 0.7426 0.9167 0.0000  6 Ho 3.45-3.65, 2 La 3.58, 3 Tm 3.60-3.63
La 0.9167 0.7426 0.0000  6 Ho 3.45-3.65, 2 La 3.58, 3 Tm 3.60-3.63
Ho 0.0952 0.4686 0.5000  4 Ho 3.48-3.58, 6 Tm 3.49-3.55, 2 La 3.65
Ho 0.1249 0.8751 0.5000  4 La 3.45, 6 Tm 3.51-3.73, 2 Ho 3.58
Ho 0.2938 0.2938 0.5000  3 Ho 3.37-3.58, 4 Tm 3.45, 4 La 3.53
Ho 0.3123 0.6877 0.5000  8 Tm 3.49-3.50, 4 Ho 3.56-3.58
Ho 0.4686 0.0952 0.5000  4 Ho 3.48-3.58, 6 Tm 3.49-3.55, 2 La 3.65
Ho 0.5000 0.5000 0.5000  4 Ho 3.37-3.58, 8 Tm 3.52
Ho 0.5314 0.9048 0.5000  4 Ho 3.48-3.58, 6 Tm 3.49-3.55, 2 La 3.65
Ho 0.6877 0.3123 0.5000  8 Tm 3.49-3.50, 4 Ho 3.56-3.58
Ho 0.7062 0.7062 0.5000  3 Ho 3.37-3.58, 4 Tm 3.45, 4 La 3.53
Ho 0.8751 0.1249 0.5000  4 La 3.45, 6 Tm 3.51-3.73, 2 Ho 3.58
Ho 0.9048 0.5314 0.5000  4 Ho 3.48-3.58, 6 Tm 3.49-3.55, 2 La 3.65
Tm 0.0000 0.0000 0.0000  2 Tm 3.58, 4 La 3.60, 4 Ho 3.73
Tm 0.1131 0.6744 0.0000  3 Tm 3.47-3.58, 8 Ho 3.49-3.55, 1 La 3.62
Tm 0.2982 0.4870 0.0000  8 Ho 3.45-3.52, 3 Tm 3.51-3.58, 1 La 3.63
Tm 0.3256 0.8869 0.0000  3 Tm 3.47-3.58, 8 Ho 3.49-3.55, 1 La 3.62
Tm 0.4870 0.2982 0.0000  8 Ho 3.45-3.52, 3 Tm 3.51-3.58, 1 La 3.63
Tm 0.5130 0.7018 0.0000  8 Ho 3.45-3.52, 3 Tm 3.51-3.58, 1 La 3.63
Tm 0.6744 0.1131 0.0000  3 Tm 3.47-3.58, 8 Ho 3.49-3.55, 1 La 3.62
Tm 0.7018 0.5130 0.0000  8 Ho 3.45-3.52, 3 Tm 3.51-3.58, 1 La 3.63
Tm 0.8869 0.3256 0.0000  3 Tm 3.47-3.58, 8 Ho 3.49-3.55, 1 La 3.62

Output
Theoretical density (g cm⁻³): 8.43
V (Å³ per atom): 31.94
Calculated total energy (eV per cell): -109.10
Symmetry: Cmmm, No. 65


Computed, not measured: a relaxed structure of Li2Bi3 at the PBE level of DFT.

Cell: 6.5239 6.5239 6.5239 Å, 77.51 77.51 77.51°
Closest atoms and distances in Å follow each position.
Fractional positions:
Li 0.1168 0.1168 0.1168  6 Bi 2.89-3.06, 1 Li 3.16
Li 0.3832 0.3832 0.3832  6 Bi 2.89-3.06, 1 Li 3.16
Li 0.6168 0.6168 0.6168  6 Bi 2.89-3.06, 1 Li 3.16
Li 0.8832 0.8832 0.8832  6 Bi 2.89-3.06, 1 Li 3.16
Bi 0.0529 0.7500 0.4471  4 Li 2.89-3.06
Bi 0.2500 0.5529 0.9471  4 Li 2.89-3.06
Bi 0.4471 0.0529 0.7500  4 Li 2.89-3.06
Bi 0.5529 0.9471 0.2500  4 Li 2.89-3.06
Bi 0.7500 0.4471 0.0529  4 Li 2.89-3.06
Bi 0.9471 0.2500 0.5529  4 Li 2.89-3.06

Output
Energy relative to the lowest polymorph listed for this composition (meV per atom): 0
Theoretical density (g cm⁻³): 8.17
V (Å³ per atom): 26.05
Symmetry: R-3c, No. 167


Computed, not measured: a relaxed structure of Os4Ru3Rh12 at the PBE level of DFT.

Cell: 7.9495 7.9495 7.9495 Å, 109.47 109.47 109.47°
Closest atoms and distances in Å follow each position.
Fractional positions:
Os 0.0000 0.0000 0.5000  6 Rh 2.50
Os 0.0000 0.5000 0.0000  6 Rh 2.50
Os 0.5000 0.0000 0.0000  6 Rh 2.50
Os 0.5000 0.5000 0.5000  6 Rh 2.50
Ru 0.0000 0.5000 0.5000  8 Rh 2.57-2.72
Ru 0.5000 0.0000 0.5000  8 Rh 2.57-2.72
Ru 0.5000 0.5000 0.0000  8 Rh 2.57-2.72
Rh 0.0979 0.7404 0.3575  2 Os 2.50, 2 Ru 2.57-2.72, 5 Rh 2.62-2.78
Rh 0.2596 0.3575 0.6171  2 Os 2.50, 2 Ru 2.57-2.72, 5 Rh 2.62-2.78
Rh 0.2596 0.6425 0.9021  2 Os 2.50, 2 Ru 2.57-2.72, 5 Rh 2.62-2.78
Rh 0.3575 0.0979 0.7404  2 Os 2.50, 2 Ru 2.57-2.72, 5 Rh 2.62-2.78
Rh 0.3575 0.6171 0.2596  2 Os 2.50, 2 Ru 2.57-2.72, 5 Rh 2.62-2.78
Rh 0.3829 0.7404 0.6425  2 Os 2.50, 2 Ru 2.57-2.72, 5 Rh 2.62-2.78
Rh 0.6171 0.2596 0.3575  2 Os 2.50, 2 Ru 2.57-2.72, 5 Rh 2.62-2.78
Rh 0.6425 0.3829 0.7404  2 Os 2.50, 2 Ru 2.57-2.72, 5 Rh 2.62-2.78
Rh 0.6425 0.9021 0.2596  2 Os 2.50, 2 Ru 2.57-2.72, 5 Rh 2.62-2.78
Rh 0.7404 0.3575 0.0979  2 Os 2.50, 2 Ru 2.57-2.72, 5 Rh 2.62-2.78
Rh 0.7404 0.6425 0.3829  2 Os 2.50, 2 Ru 2.57-2.72, 5 Rh 2.62-2.78
Rh 0.9021 0.2596 0.6425  2 Os 2.50, 2 Ru 2.57-2.72, 5 Rh 2.62-2.78

Output
Theoretical density (g cm⁻³): 9.87
V (Å³ per atom): 20.35
Calculated total energy (eV per cell): -143.28
Symmetry: Im-3, No. 204


Computed, not measured: a relaxed structure of CaErAl2 at the PBE level of DFT.

Cell: 3.6128 3.6128 7.3724 Å, 90.00 90.00 90.00°
Closest atoms and distances in Å follow each position.
Fractional positions:
Ca 0.0000 0.0000 0.0000  8 Al 3.21
Er 0.0000 0.0000 0.5000  8 Al 3.10
Al 0.5000 0.5000 0.2629  4 Er 3.10, 4 Ca 3.21
Al 0.5000 0.5000 0.7371  4 Er 3.10, 4 Ca 3.21

Output
Energy relative to the lowest polymorph listed for this composition (meV per atom): 0
Theoretical density (g cm⁻³): 4.51
V (Å³ per atom): 24.06
Symmetry: P4/mmm, No. 123


Computed, not measured: a relaxed structure of CuAs2Pt at the PBE level of DFT.

Cell: 6.3755 6.3755 6.3755 Å, 90.00 90.00 90.00°
Closest atoms and distances in Å follow each position.
Fractional positions:
Cu 0.0000 0.0000 0.0000  8 As 2.76
Cu 0.0000 0.5000 0.5000  8 As 2.76
Cu 0.5000 0.0000 0.5000  8 As 2.76
Cu 0.5000 0.5000 0.0000  8 As 2.76
As 0.2500 0.2500 0.2500  4 Pt 2.76, 4 Cu 2.76
As 0.2500 0.2500 0.7500  4 Cu 2.76, 4 Pt 2.76
As 0.2500 0.7500 0.2500  4 Cu 2.76, 4 Pt 2.76
As 0.2500 0.7500 0.7500  4 Cu 2.76, 4 Pt 2.76
As 0.7500 0.2500 0.2500  4 Cu 2.76, 4 Pt 2.76
As 0.7500 0.2500 0.7500  4 Cu 2.76, 4 Pt 2.76
As 0.7500 0.7500 0.2500  4 Cu 2.76, 4 Pt 2.76
As 0.7500 0.7500 0.7500  4 Cu 2.76, 4 Pt 2.76
Pt 0.0000 0.0000 0.5000  8 As 2.76
Pt 0.0000 0.5000 0.0000  8 As 2.76
Pt 0.5000 0.0000 0.0000  8 As 2.76
Pt 0.5000 0.5000 0.5000  8 As 2.76

Output
Energy relative to the lowest polymorph listed for this composition (meV per atom): 94
Theoretical density (g cm⁻³): 10.47
V (Å³ per atom): 16.20
Symmetry: Fm-3m, No. 225


Computed, not measured: a relaxed structure of Ce3Tl2Zn4 at the PBE level of DFT.

Cell: 5.9506 5.9506 9.0397 Å, 114.29 114.29 47.34°
Closest atoms and distances in Å follow each position.
Fractional positions:
Ce 0.0000 0.0000 0.0000  8 Zn 3.23-3.43, 4 Tl 3.30, 2 Ce 3.51
Ce 0.3350 0.3350 0.3253  8 Zn 3.11-3.37, 4 Tl 3.26-3.35
Ce 0.6650 0.6650 0.6747  8 Zn 3.11-3.37, 4 Tl 3.26-3.35
Tl 0.3839 0.3839 0.7183  3 Zn 2.82-2.86
Tl 0.6162 0.6162 0.2817  3 Zn 2.82-2.86
Zn 0.0623 0.0623 0.4071  1 Zn 2.59, 2 Tl 2.82
Zn 0.2777 0.2777 0.9559  2 Zn 2.67, 1 Tl 2.86
Zn 0.7223 0.7223 0.0441  2 Zn 2.67, 1 Tl 2.86
Zn 0.9377 0.9377 0.5929  1 Zn 2.59, 2 Tl 2.82

Output
Theoretical density (g cm⁻³): 8.61
V (Å³ per atom): 23.37
Calculated total energy (eV per cell): -29.79
Symmetry: C2/m, No. 12


Computed, not measured: a relaxed structure of KSc2Ir2 at the PBE level of DFT.

Cell: 4.2960 4.2960 13.7767 Å, 90.00 90.00 90.00°
Closest atoms and distances in Å follow each position.
Fractional positions:
K 0.0000 0.0000 0.0000  8 Sc 3.64, 8 Ir 4.06
K 0.5000 0.5000 0.5000  8 Sc 3.64, 8 Ir 4.06
Sc 0.0000 0.0000 0.3545  4 Ir 2.59
Sc 0.0000 0.0000 0.6455  4 Ir 2.59
Sc 0.5000 0.5000 0.1455  4 Ir 2.59
Sc 0.5000 0.5000 0.8545  4 Ir 2.59
Ir 0.0000 0.5000 0.2500  4 Sc 2.59
Ir 0.0000 0.5000 0.7500  4 Sc 2.59
Ir 0.5000 0.0000 0.2500  4 Sc 2.59
Ir 0.5000 0.0000 0.7500  4 Sc 2.59

Output
Energy relative to the lowest polymorph listed for this composition (meV per atom): 256
Theoretical density (g cm⁻³): 6.71
V (Å³ per atom): 25.43
Symmetry: I4/mmm, No. 139


Computed, not measured: a relaxed structure of BeZnAg at the PBE level of DFT.

Cell: 8.3430 3.8539 5.2523 Å, 90.00 100.75 90.00°
Closest atoms and distances in Å follow each position.
Fractional positions:
Be 0.0000 0.0000 0.0000  2 Be 2.34, 1 Zn 2.44, 5 Ag 2.47-2.57
Be 0.0982 0.5000 0.2304  2 Be 2.34, 3 Zn 2.48-2.50, 2 Ag 2.52-2.55
Be 0.5000 0.5000 0.0000  2 Be 2.34, 1 Zn 2.44, 5 Ag 2.47-2.57
Be 0.5982 0.0000 0.2304  2 Be 2.34, 3 Zn 2.48-2.50, 2 Ag 2.52-2.55
Zn 0.2101 0.0000 0.5032  2 Be 2.48, 3 Zn 2.56-2.59, 4 Ag 2.71-2.73
Zn 0.3975 0.5000 0.4066  2 Be 2.44-2.50, 3 Zn 2.56-2.59
Zn 0.7101 0.5000 0.5032  2 Be 2.48, 3 Zn 2.56-2.59, 4 Ag 2.71-2.73
Zn 0.8975 0.0000 0.4066  2 Be 2.44-2.50, 3 Zn 2.56-2.59
Ag 0.0603 0.5000 0.7379  4 Be 2.47-2.74, 2 Zn 2.71
Ag 0.3000 0.0000 0.0289  4 Be 2.48-2.57, 4 Zn 2.72-2.78
Ag 0.5603 0.0000 0.7379  4 Be 2.47-2.74, 2 Zn 2.71
Ag 0.8000 0.5000 0.0289  4 Be 2.48-2.57, 4 Zn 2.72-2.78

Output
Energy relative to the lowest polymorph listed for this composition (meV per atom): 85
Theoretical density (g cm⁻³): 7.30
V (Å³ per atom): 13.83
Symmetry: Cm, No. 8


Computed, not measured: a relaxed structure of Ca4Hg2O at the PBE level of DFT.

Cell: 4.6581 4.6581 17.0180 Å, 90.00 90.00 90.00°
Closest atoms and distances in Å follow each position.
Fractional positions:
Ca 0.0000 0.0000 0.1748  1 O 2.98, 1 Hg 3.18
Ca 0.0000 0.0000 0.8252  1 O 2.98, 1 Hg 3.18
Ca 0.0000 0.5000 0.0000  2 O 2.33
Ca 0.0000 0.5000 0.5000  2 O 2.33
Ca 0.5000 0.0000 0.0000  2 O 2.33
Ca 0.5000 0.0000 0.5000  2 O 2.33
Ca 0.5000 0.5000 0.3252  1 O 2.98, 1 Hg 3.18
Ca 0.5000 0.5000 0.6748  1 O 2.98, 1 Hg 3.18
Hg 0.0000 0.0000 0.3617  9 Ca 3.18-3.35
Hg 0.0000 0.0000 0.6383  9 Ca 3.18-3.35
Hg 0.5000 0.5000 0.1383  9 Ca 3.18-3.35
Hg 0.5000 0.5000 0.8617  9 Ca 3.18-3.35
O 0.0000 0.0000 0.0000  4 Ca 2.33
O 0.5000 0.5000 0.5000  4 Ca 2.33

Output
Theoretical density (g cm⁻³): 5.19
V (Å³ per atom): 26.38
Symmetry: I4/mmm, No. 139
Uncorrected formation energy (eV/f.u.): -7.5


Computed, not measured: a relaxed structure of Rb2HfScI6 at the PBE level of DFT.

Cell: 8.2592 8.2592 8.2592 Å, 119.98 119.98 90.04°
Closest atoms and distances in Å follow each position.
Fractional positions:
Rb 0.2500 0.7500 0.5000  12 I 4.13
Rb 0.7500 0.2500 0.5000  12 I 4.13
Hf 0.0000 0.0000 0.0000  6 I 2.90
Sc 0.5000 0.5000 0.0000  6 I 2.94
I 0.2484 0.2484 0.0000  1 Hf 2.90, 1 Sc 2.94
I 0.2483 0.2483 0.4966  1 Hf 2.90, 1 Sc 2.94
I 0.2483 0.7517 0.0000  1 Hf 2.90, 1 Sc 2.94
I 0.7517 0.2483 0.0000  1 Hf 2.90, 1 Sc 2.94
I 0.7516 0.7516 0.0000  1 Hf 2.90, 1 Sc 2.94
I 0.7517 0.7517 0.5034  1 Hf 2.90, 1 Sc 2.94

Output
Theoretical density (g cm⁻³): 4.82
V (Å³ per atom): 39.85
Symmetry: I4/mmm, No. 139
Uncorrected formation energy (eV/f.u.): -9.1


Computed, not measured: a relaxed structure of Sr2LiPdAu6 at the PBE level of DFT.

Cell: 5.5065 7.0740 7.1331 Å, 81.44 67.31 67.15°
Closest atoms and distances in Å follow each position.
Fractional positions:
Sr 0.0357 0.2297 0.1975  7 Au 3.24-3.61, 2 Pd 3.52
Sr 0.9643 0.7703 0.8025  7 Au 3.24-3.61, 2 Pd 3.52
Li 0.5000 0.0000 0.5000  6 Au 2.62-2.65
Pd 0.5000 0.5000 0.0000  6 Au 2.73-2.76
Au 0.0082 0.2376 0.7445  1 Li 2.63, 4 Au 2.75-2.93, 1 Pd 2.76
Au 0.3520 0.3937 0.4008  1 Li 2.65, 1 Pd 2.73, 4 Au 2.84-2.93
Au 0.4904 0.7624 0.2556  1 Li 2.62, 4 Au 2.75-2.93, 1 Pd 2.76
Au 0.5096 0.2376 0.7444  1 Li 2.62, 4 Au 2.75-2.93, 1 Pd 2.76
Au 0.6480 0.6063 0.5992  1 Li 2.65, 1 Pd 2.73, 4 Au 2.84-2.93
Au 0.9918 0.7624 0.2555  1 Li 2.63, 4 Au 2.75-2.93, 1 Pd 2.76

Output
Theoretical density (g cm⁻³): 10.34
V (Å³ per atom): 23.62
Calculated total energy (eV per cell): -35.21
Symmetry: P-1, No. 2


What is the V in the ninth record? 13.83 Å³ per atom


Look up the V of the twelfth one. 23.62 Å³ per atom


Please write out number 6 again, unchanged.
Computed, not measured: a relaxed structure of CuAs2Pt at the PBE level of DFT.

Cell: 6.3755 6.3755 6.3755 Å, 90.00 90.00 90.00°
Closest atoms and distances in Å follow each position.
Fractional positions:
Cu 0.0000 0.0000 0.0000  8 As 2.76
Cu 0.0000 0.5000 0.5000  8 As 2.76
Cu 0.5000 0.0000 0.5000  8 As 2.76
Cu 0.5000 0.5000 0.0000  8 As 2.76
As 0.2500 0.2500 0.2500  4 Pt 2.76, 4 Cu 2.76
As 0.2500 0.2500 0.7500  4 Cu 2.76, 4 Pt 2.76
As 0.2500 0.7500 0.2500  4 Cu 2.76, 4 Pt 2.76
As 0.2500 0.7500 0.7500  4 Cu 2.76, 4 Pt 2.76
As 0.7500 0.2500 0.2500  4 Cu 2.76, 4 Pt 2.76
As 0.7500 0.2500 0.7500  4 Cu 2.76, 4 Pt 2.76
As 0.7500 0.7500 0.2500  4 Cu 2.76, 4 Pt 2.76
As 0.7500 0.7500 0.7500  4 Cu 2.76, 4 Pt 2.76
Pt 0.0000 0.0000 0.5000  8 As 2.76
Pt 0.0000 0.5000 0.0000  8 As 2.76
Pt 0.5000 0.0000 0.0000  8 As 2.76
Pt 0.5000 0.5000 0.5000  8 As 2.76

Output
Energy relative to the lowest polymorph listed for this composition (meV per atom): 94
Theoretical density (g cm⁻³): 10.47
V (Å³ per atom): 16.20
Symmetry: Fm-3m, No. 225